This record from the Alexandria database describes a geometry-optimized Rb3Ho2RhO6 structure. The functional is PBE.

Cell: 5.873 5.873 6.767 Å, 98.28 98.28 119.97°
Fractional coordinates of all 12 atoms:
O 0.058 0.379 0.175
O 0.942 0.621 0.825
O 0.737 0.737 0.175
O 0.263 0.263 0.825
O 0.621 0.942 0.825
O 0.379 0.058 0.175
Rb 0.837 0.163 0.500
Rb 0.500 0.500 0.500
Rb 0.163 0.837 0.500
Ho 0.333 0.667 0.000
Ho 0.667 0.333 0.000
Rh 0.000 0.000 0.000

Final energy   -6.1653 eV per atom
Symmetry   No. 12
Formation energy from raw total energies   -24.82 eV/f.u.
Total moment   0.000 μB per formula unit

This record from the Alexandria database describes a geometry-optimized Rb3ZnOs2O9 structure. The functional is PBE.

Cell: 5.698 5.698 7.063 Å, 90.00 90.00 120.00°
Fractional coordinates of all 15 atoms:
Rb 0.000 0.000 0.000
Rb 0.667 0.333 0.342
Rb 0.333 0.667 0.658
O 0.352 0.176 0.687
O 0.176 0.352 0.313
O 0.000 0.500 0.000
O 0.500 0.000 0.000
O 0.824 0.176 0.687
O 0.648 0.824 0.313
O 0.176 0.824 0.313
O 0.500 0.500 0.000
O 0.824 0.648 0.687
Os 0.667 0.333 0.835
Os 0.333 0.667 0.165
Zn 0.000 0.000 0.500

Final energy   -5.9579 eV per atom
Symmetry   No. 164
Formation energy from raw total energies   -18.11 eV/f.u.
Total moment   0.000 μB per formula unit

This record from the Alexandria database describes a geometry-optimized TbNd2Cd3 structure. The functional is PBE.

Cell: 3.814 3.814 11.541 Å, 90.00 90.00 90.00°
Each line ends with the local moment (μB).
Fractional coordinates of all 6 atoms:
Cd 0.000 0.000 0.657  0.01
Cd 0.000 0.000 0.343  0.01
Cd 0.000 0.000 0.000  0.02
Nd 0.500 0.500 0.170  0.19
Nd 0.500 0.500 0.830  0.19
Tb 0.500 0.500 0.500  0.12

Final energy   -3.1346 eV per atom
Symmetry   No. 123
Energy relative to the elements   -0.316 eV/atom
Total moment   1.068 μB per formula unit

This record from the Alexandria database describes a geometry-optimized La4Pm7Er structure. The functional is PBE.

Cell: 6.124 12.016 6.836 Å, 83.98 63.39 75.24°
Fractional coordinates of all 12 atoms:
Er 0.000 0.000 0.000
La 0.358 0.779 0.504
La 0.781 0.665 0.773
La 0.642 0.221 0.496
La 0.219 0.335 0.227
Pm 0.500 0.000 0.000
Pm 0.070 0.692 0.168
Pm 0.930 0.308 0.832
Pm 0.633 0.504 0.230
Pm 0.213 0.077 0.497
Pm 0.787 0.923 0.503
Pm 0.367 0.496 0.770

Final energy   -4.5594 eV per atom
Symmetry   No. 12
E above lowest polymorph   20.5 kJ per mole of atoms
Energy relative to the elements   0.235 eV/atom
Total moment   0.000 μB per formula unit

What did the fourth record say?
This record from the Alexandria database describes a geometry-optimized La4Pm7Er structure. The functional is PBE.

Cell: 6.124 12.016 6.836 Å, 83.98 63.39 75.24°
Fractional coordinates of all 12 atoms:
Er 0.000 0.000 0.000
La 0.358 0.779 0.504
La 0.781 0.665 0.773
La 0.642 0.221 0.496
La 0.219 0.335 0.227
Pm 0.500 0.000 0.000
Pm 0.070 0.692 0.168
Pm 0.930 0.308 0.832
Pm 0.633 0.504 0.230
Pm 0.213 0.077 0.497
Pm 0.787 0.923 0.503
Pm 0.367 0.496 0.770

Final energy   -4.5594 eV per atom
Symmetry   No. 12
E above lowest polymorph   20.5 kJ per mole of atoms
Energy relative to the elements   0.235 eV/atom
Total moment   0.000 μB per formula unit

What is the final energy in the first record? -6.1653 eV per atom